# 1
A geometry-optimized Sr3LiU3As8 structure, computed with PBE-GGA.

Lattice parameters (Å, degrees): 8.524 8.524 8.524 58.84 58.84 58.84
Positions (direct):
Sr 0.000 0.500 0.500
Sr 0.500 0.000 0.500
Sr 0.500 0.500 0.000
Li 0.500 0.500 0.500
U 0.000 0.000 0.500
U 0.000 0.500 0.000
U 0.500 0.000 0.000
As 0.215 0.748 0.748
As 0.239 0.239 0.239
As 0.252 0.252 0.785
As 0.252 0.785 0.252
As 0.748 0.215 0.748
As 0.748 0.748 0.215
As 0.761 0.761 0.761
As 0.785 0.252 0.252

Values from the calculation:
Total DFT energy (no corrections) ... -5.8741 eV/atom
Spin magnetization ... 1.8 μB/f.u.
Calculated density ... 6.166 g cm⁻³
ΔH_f (0 K) ... -0.67 eV per atom
Volume ... 28.43 A^3/atom

# 2
A geometry-optimized Ca2HfGeTe structure, computed with PBE-GGA.

Lattice parameters (Å, degrees): 5.667 5.667 5.322 90.00 90.00 90.00
Positions (direct):
Ca 0.000 0.500 0.000
Ca 0.500 0.000 0.000
Hf 0.000 0.000 0.500
Ge 0.500 0.500 0.500
Te 0.000 0.000 0.000

Values from the calculation:
Total DFT energy (no corrections) ... -4.1187 eV/atom
Energy relative to the elements, uncorrected ... 0.224 eV/atom
Spin magnetization ... 0.0 μB/f.u.
Calculated density ... 4.458 g cm⁻³
Volume ... 34.19 A^3/atom

# 3
A geometry-optimized MgCoPt2 structure, computed with PBE-GGA.

Lattice parameters (Å, degrees): 4.648 4.648 4.839 100.00 100.00 35.11
Positions (direct):
Mg 0.000 0.000 0.000
Co 0.500 0.500 0.500
Pt 0.246 0.246 0.741
Pt 0.754 0.754 0.259

Values from the calculation:
Total DFT energy (no corrections) ... -5.4894 eV/atom
Spin magnetization ... 1.8 μB/f.u.
Calculated density ... 13.294 g cm⁻³
ΔH_f (0 K) ... -0.29 eV per atom
Volume ... 14.78 A^3/atom

# 4
A geometry-optimized TaTl2Si structure, computed with PBE-GGA.

Lattice parameters (Å, degrees): 6.291 6.291 6.291 101.68 101.68 126.52
Positions (direct):
Ta 0.000 0.000 0.000
Ta 0.750 0.250 0.500
Tl 0.139 0.625 0.014
Tl 0.375 0.389 0.514
Tl 0.611 0.125 0.986
Tl 0.875 0.861 0.486
Si 0.250 0.750 0.500
Si 0.500 0.500 0.000

Values from the calculation:
Total DFT energy (no corrections) ... -4.5851 eV/atom
Polymorph energy (0 for the lowest one) ... 2.550 eV/f.u.
Energy relative to the elements, uncorrected ... 0.917 eV/atom
Spin magnetization ... 0.0 μB/f.u.
Calculated density ... 11.482 g cm⁻³
Volume ... 22.34 A^3/atom